Material: HfSbC3
Method: DFT, PBE
State: relaxed

- ΔE to the lowest computed polymorph: 0.0000 eV/atom
- Energy: -6.422 eV per atom
- E_form (uncorrected): 1.927 eV per atom
- DOS at the Fermi energy: 3.0 states/eV/cell
- SG: No. 221

a b c (Å): 4.3170 4.3170 4.3170
angles (deg): 90.00 90.00 90.00
Atoms (fractional coordinates):
Hf (0.0000, 0.0000, 0.0000)
Sb (0.5000, 0.5000, 0.5000)
C (0.0000, 0.0000, 0.5000)
C (0.0000, 0.5000, 0.0000)
C (0.5000, 0.0000, 0.0000)